DFT (GGA-PBE) results for a geometry-optimized SrTe2Rh structure.

It has space group P4mm (No. 99), with a = 4.0648 Å, b = 4.0648 Å, c = 6.7781 Å, α = 90.00°, β = 90.00° and γ = 90.00°. The distinct sites, in fractional coordinates, are Sr at (0.0000, 0.0000, 0.0000), Te at (0.0000, 0.0000, 0.5277), Te at (0.5000, 0.5000, 0.1940) and Rh at (0.5000, 0.5000, 0.5831).

The calculated total energy comes out at -4.352 eV per atom. As for the energy relative to the lowest polymorph listed for this composition: 25.2 kJ/mol of atoms. For the raw formation energy, the calculation gives -0.5226 eV/atom. The value obtained for the total magnetization is 0.0000 μB per atom. The density of states at the Fermi level comes out at 2.23 states/eV per cell.


DFT (GGA-PBE) results for a geometry-optimized P2AuCl8 structure.

It has space group C2/m (No. 12), with a = 12.9465 Å, b = 8.8394 Å, c = 6.9872 Å, α = 90.00°, β = 91.97° and γ = 90.00°. The distinct sites, in fractional coordinates, are P at (0.2392, 0.0000, 0.2507), Au at (0.0000, 0.0000, 0.5000), Cl at (0.1034, 0.2003, 0.3523), Cl at (0.1040, 0.5000, 0.8103) and Cl at (0.1830, 0.0000, 0.9746).

The calculated total energy comes out at -2.972 eV per atom. For the raw formation energy, the calculation gives -0.3479 eV/atom. The value obtained for the total magnetization is 0.0950 μB per atom. The density of states at the Fermi level comes out at 0.41 states/eV per cell.


DFT (GGA-PBE) results for a geometry-optimized MgInPb4 structure.

It has space group C2/m (No. 12), with a = 8.5632 Å, b = 5.2330 Å, c = 9.2094 Å, α = 90.00°, β = 110.67° and γ = 90.00°. The distinct sites, in fractional coordinates, are Mg at (0.0000, 0.0000, 0.0000), In at (0.0000, 0.5000, 0.5000), Pb at (0.1098, 0.0000, 0.3612) and Pb at (0.1171, 0.5000, 0.8774).

The calculated total energy comes out at -3.140 eV per atom. As for the energy relative to the lowest polymorph listed for this composition: 0.0 kJ/mol of atoms. The value obtained for the total magnetization is 0.0000 μB per atom. The density of states at the Fermi level comes out at 5.36 states/eV per cell. As for the formation energy: 0.05 eV per atom.


DFT (GGA-PBE) results for a geometry-optimized LaCr2Br structure.

It has space group P4/mmm (No. 123), with a = 3.5385 Å, b = 3.5385 Å, c = 7.9816 Å, α = 90.00°, β = 90.00° and γ = 90.00°. The distinct sites, in fractional coordinates, are La at (0.0000, 0.0000, 0.0000), Cr at (0.5000, 0.5000, 0.2791) and Br at (0.0000, 0.0000, 0.5000).

The calculated total energy comes out at -5.964 eV per atom. As for the energy relative to the lowest polymorph listed for this composition: 46.8 kJ/mol of atoms. For the raw formation energy, the calculation gives 0.4982 eV/atom. The value obtained for the total magnetization is 2.3076 μB per atom. The density of states at the Fermi level comes out at 3.15 states/eV per cell.


DFT (GGA-PBE) results for a geometry-optimized DyTh2Cd8 structure.

It has space group Immm (No. 71), with a = 5.3503 Å, b = 6.5832 Å, c = 15.8915 Å, α = 90.00°, β = 90.00° and γ = 90.00°. The distinct sites, in fractional coordinates, are Dy at (0.0000, 0.0000, 0.0000), Th at (0.0000, 0.5000, 0.1930), Cd at (0.0000, 0.0000, 0.1966), Cd at (0.0000, 0.2769, 0.3796) and Cd at (0.2462, 0.5000, 0.0000).

The calculated total energy comes out at -2.557 eV per atom. The value obtained for the total magnetization is 0.0000 μB per atom. The density of states at the Fermi level comes out at 13.93 states/eV per cell. As for the formation energy: -0.12 eV per atom.


DFT (GGA-PBE) results for a geometry-optimized CsCu2Re structure.

It has space group Fm-3m (No. 225), with a = 6.9706 Å, b = 6.9706 Å, c = 6.9706 Å, α = 90.00°, β = 90.00° and γ = 90.00°. The distinct sites, in fractional coordinates, are Cs at (0.0000, 0.0000, 0.0000), Cu at (0.2500, 0.2500, 0.2500) and Re at (0.0000, 0.0000, 0.5000).

The calculated total energy comes out at -3.579 eV per atom. The value obtained for the total magnetization is 0.7568 μB per atom. The density of states at the Fermi level comes out at 15.61 states/eV per cell. As for the formation energy: 1.79 eV per atom.


Please write out number 3 again, unchanged.
DFT (GGA-PBE) results for a geometry-optimized MgInPb4 structure.

It has space group C2/m (No. 12), with a = 8.5632 Å, b = 5.2330 Å, c = 9.2094 Å, α = 90.00°, β = 110.67° and γ = 90.00°. The distinct sites, in fractional coordinates, are Mg at (0.0000, 0.0000, 0.0000), In at (0.0000, 0.5000, 0.5000), Pb at (0.1098, 0.0000, 0.3612) and Pb at (0.1171, 0.5000, 0.8774).

The calculated total energy comes out at -3.140 eV per atom. As for the energy relative to the lowest polymorph listed for this composition: 0.0 kJ/mol of atoms. The value obtained for the total magnetization is 0.0000 μB per atom. The density of states at the Fermi level comes out at 5.36 states/eV per cell. As for the formation energy: 0.05 eV per atom.